Compound: Ni3As2O8
Source: Alexandria
Functional: meta-GGA SCAN
Structure: single point on PBEsol structure

Geometry as POSCAR:
```
Ni3As2O8
1.0
-0.3058 5.6199 -1.6083
-4.7646 -2.3124 3.4778
3.9189 2.1609 6.8057
Ni O As
6 16 4
Cartesian
0.0000 0.0000 0.0000 Ni
-2.7135 2.3112 3.2658 Ni
-2.5606 -0.4988 4.0700 Ni
1.4091 5.9673 4.6053 Ni
1.8066 3.8904 2.5987 Ni
1.5620 3.1573 5.4095 Ni
-3.6325 -0.9915 2.4417 O
0.9716 0.5380 1.6951 O
-1.8542 2.8834 4.9913 O
2.6308 3.7083 7.0210 O
-1.9796 2.1153 7.7679 O
2.4810 6.4599 6.2335 O
0.5095 1.8927 6.5169 O
-1.6982 0.0151 5.8121 O
-1.4278 0.8100 3.1020 O
0.8281 3.3532 0.9073 O
0.7028 2.5851 3.6840 O
0.2763 4.6584 5.5733 O
-3.7823 1.7602 1.6542 O
0.5467 5.4534 2.8631 O
-1.6610 3.5757 2.1583 O
-2.1231 4.9305 6.9802 O
-1.4331 4.5112 5.3839 As
-0.9328 3.1819 0.6437 As
-0.2187 2.2866 8.0316 As
0.2816 0.9572 3.2913 As
```

Magnetization ... 11.92 μB per cell
Symmetry ... No. 64
Energy relative to the elements, uncorrected ... -1.39 eV/atom